The following is a DFT calculation (PBE) of a relaxed structure of In2Pb2Au15.

Computed properties:
For the energy relative to the elements, the calculation gives -3.11 kJ per mole of atoms. For the energy, the calculation gives -62.7 eV/cell.

a b c (Å): 7.3900 7.3900 7.3900
angles (deg): 84.31 84.31 84.31
Last column: nearest neighbours and their distance in Å.
Atoms (fractional coordinates):
In 0.1060 0.1060 0.1060  1 In 2.97, 6 Au 2.99-3.03
In 0.8940 0.8940 0.8940  1 In 2.97, 6 Au 2.99-3.03
Pb 0.3595 0.3595 0.3595  12 Au 3.35-3.46, 1 In 3.55
Pb 0.6405 0.6405 0.6405  12 Au 3.35-3.46, 1 In 3.55
Au 0.0000 0.0000 0.5000  8 Au 2.85-2.88, 2 In 2.99
Au 0.0000 0.3294 0.6706  6 Au 2.85-2.87
Au 0.0000 0.5000 0.0000  8 Au 2.85-2.88, 2 In 2.99
Au 0.0000 0.6706 0.3294  6 Au 2.85-2.87
Au 0.1688 0.6625 0.6625  8 Au 2.83-2.88, 1 In 3.03
Au 0.3294 0.0000 0.6706  6 Au 2.85-2.87
Au 0.3294 0.6706 0.0000  6 Au 2.85-2.87
Au 0.3375 0.3375 0.8312  8 Au 2.83-2.88, 1 In 3.03
Au 0.3375 0.8312 0.3375  8 Au 2.83-2.88, 1 In 3.03
Au 0.5000 0.0000 0.0000  8 Au 2.85-2.88, 2 In 2.99
Au 0.6625 0.1688 0.6625  8 Au 2.83-2.88, 1 In 3.03
Au 0.6625 0.6625 0.1688  8 Au 2.83-2.88, 1 In 3.03
Au 0.6706 0.0000 0.3294  6 Au 2.85-2.87
Au 0.6706 0.3294 0.0000  6 Au 2.85-2.87
Au 0.8312 0.3375 0.3375  8 Au 2.83-2.88, 1 In 3.03